No. 1
The following is a DFT calculation (GGA-PBE) of V2CoBAu after structural relaxation.

a b c (Å): 4.7979 4.7979 3.8842
angles (deg): 90.00 90.00 90.00
With the nearest neighbours (Å) after each atom.
Atoms (fractional coordinates):
V 0.0000 0.5000 0.0000  2 Au 2.40
V 0.5000 0.0000 0.0000  2 Au 2.40
Co 0.0000 0.0000 0.5000  8 V 3.09, 4 B 3.39
B 0.5000 0.5000 0.5000  2 Au 1.94
Au 0.5000 0.5000 0.0000  2 B 1.94

## Properties
The total energy is -26.11 eV/cell. The value obtained for the formation enthalpy at 0 K is 9.19 eV/f.u.


No. 2
The following is a DFT calculation (GGA-PBE) of PaAgAu after structural relaxation.

a b c (Å): 6.2799 6.2799 6.2799
angles (deg): 149.62 149.62 43.50
With the nearest neighbours (Å) after each atom.
Atoms (fractional coordinates):
Pa 0.0000 0.0000 0.0000  4 Au 3.06, 4 Ag 3.15, 4 Pa 3.29
Ag 0.3177 0.3177 0.0000  4 Au 2.90, 4 Pa 3.15
Au 0.6699 0.6699 0.0000  4 Ag 2.90, 4 Pa 3.06

## Properties
The total energy is -15.86 eV/cell. The energy above the most stable polymorph in this dataset comes out at 0.134 eV/atom. The value obtained for the formation enthalpy at 0 K is -0.23 eV/f.u.


No. 3
The following is a DFT calculation (GGA-PBE) of MoPb2W after structural relaxation.

a b c (Å): 9.2471 9.2471 9.2471
angles (deg): 19.99 19.99 19.99
With the nearest neighbours (Å) after each atom.
Atoms (fractional coordinates):
Mo 0.0000 0.0000 0.0000  6 Pb 2.91, 6 Mo 3.21
Pb 0.2508 0.2508 0.2508  3 Mo 2.91, 3 W 2.94, 6 Pb 3.21
Pb 0.7492 0.7492 0.7492  3 Mo 2.91, 3 W 2.94, 6 Pb 3.21
W 0.5000 0.5000 0.5000  6 Pb 2.94, 6 W 3.21

## Properties
The total energy is -26.92 eV/cell. The energy above the most stable polymorph in this dataset comes out at 0.661 eV/atom. The value obtained for the formation enthalpy at 0 K is 4.29 eV/f.u.


No. 4
The following is a DFT calculation (GGA-PBE) of KRb2Sn2Cl7 after structural relaxation.

a b c (Å): 5.6048 5.6048 14.3526
angles (deg): 101.25 101.25 89.37
With the nearest neighbours (Å) after each atom.
Atoms (fractional coordinates):
K 0.0000 0.0000 0.0000  12 Cl 3.82-3.99
Rb 0.1464 0.1464 0.3610  4 Cl 3.23-3.59
Rb 0.8536 0.8536 0.6390  4 Cl 3.23-3.59
Sn 0.4060 0.4060 0.7948  6 Cl 2.76-2.85
Sn 0.5940 0.5940 0.2052  6 Cl 2.76-2.85
Cl 0.0814 0.5773 0.1970  2 Sn 2.76-2.85
Cl 0.2753 0.2753 0.5952  1 Sn 2.77
Cl 0.4227 0.9186 0.8030  2 Sn 2.76-2.85
Cl 0.5000 0.5000 0.0000  2 Sn 2.83
Cl 0.5773 0.0814 0.1970  2 Sn 2.76-2.85
Cl 0.7247 0.7247 0.4048  1 Sn 2.77
Cl 0.9186 0.4227 0.8030  2 Sn 2.76-2.85

## Properties
The total energy is -41.57 eV/cell. The energy relative to the elements, uncorrected is -1.4673 eV/atom.


No. 5
The following is a DFT calculation (GGA-PBE) of AcSmPO after structural relaxation.

a b c (Å): 4.5599 4.5599 9.4225
angles (deg): 90.00 90.00 90.00
With the nearest neighbours (Å) after each atom.
Atoms (fractional coordinates):
Ac 0.2500 0.2500 0.1169  4 O 2.53
Ac 0.7500 0.7500 0.8831  4 O 2.53
Sm 0.2500 0.7500 0.5000  4 P 2.85
Sm 0.7500 0.2500 0.5000  4 P 2.85
P 0.2500 0.2500 0.6809  4 Sm 2.85
P 0.7500 0.7500 0.3191  4 Sm 2.85
O 0.2500 0.7500 0.0000  4 Ac 2.53
O 0.7500 0.2500 0.0000  4 Ac 2.53

## Properties
The total energy is -54.10 eV/cell. The energy relative to the elements, uncorrected is -1.9635 eV/atom.


No. 6
The following is a DFT calculation (GGA-PBE) of Hg6Sb2IBr2 after structural relaxation.

a b c (Å): 6.5971 7.8311 8.0489
angles (deg): 76.52 68.57 86.70
With the nearest neighbours (Å) after each atom.
Atoms (fractional coordinates):
Hg 0.0930 0.3492 0.0917  1 Sb 2.83, 2 Hg 2.94-2.98
Hg 0.1030 0.6169 0.2984  2 Hg 2.98-3.17
Hg 0.3713 0.1690 0.6388  1 Br 2.63, 1 Sb 2.75
Hg 0.6287 0.8310 0.3612  1 Br 2.63, 1 Sb 2.75
Hg 0.8970 0.3831 0.7016  2 Hg 2.98-3.17
Hg 0.9070 0.6508 0.9083  1 Sb 2.83, 2 Hg 2.94-2.98
Sb 0.2124 0.0179 0.0079  2 Hg 2.75-2.83, 1 Sb 2.88
Sb 0.7876 0.9821 0.9921  2 Hg 2.75-2.83, 1 Sb 2.88
I 0.0000 0.0000 0.5000  6 Hg 3.47-3.65, 2 Sb 3.66
Br 0.4481 0.6548 0.7028  1 Hg 2.63
Br 0.5519 0.3452 0.2972  1 Hg 2.63

## Properties
The total energy is -16.45 eV/cell. The energy relative to the elements, uncorrected is -0.1366 eV/atom.


No. 7
The following is a DFT calculation (GGA-PBE) of Cd11In17Sn after structural relaxation.

a b c (Å): 10.0932 10.0932 9.6949
angles (deg): 109.20 109.20 111.18
With the nearest neighbours (Å) after each atom.
Atoms (fractional coordinates):
Cd 0.0000 0.0000 0.0000  1 Sn 3.06, 2 Cd 3.07, 3 In 3.09-3.21
Cd 0.1846 0.9945 0.5686  2 Cd 3.00-3.16, 6 In 3.12-3.35, 1 Sn 3.13
Cd 0.4269 0.7979 0.9926  3 Cd 3.01-3.03, 5 In 3.16-3.36
Cd 0.4319 0.6138 0.1842  3 Cd 3.03, 6 In 3.17-3.38
Cd 0.6138 0.4319 0.1842  3 Cd 3.03, 6 In 3.17-3.38
Cd 0.6218 0.8106 0.8145  3 Cd 3.01-3.14, 5 In 3.13-3.35
Cd 0.6242 0.9872 0.3752  3 Cd 3.00-3.03, 5 In 3.15-3.32
Cd 0.7979 0.4269 0.9926  3 Cd 3.01-3.03, 5 In 3.16-3.36
Cd 0.8106 0.6218 0.8145  3 Cd 3.01-3.14, 5 In 3.13-3.35
Cd 0.9872 0.6242 0.3752  3 Cd 3.00-3.03, 5 In 3.15-3.32
Cd 0.9945 0.1846 0.5686  2 Cd 3.00-3.16, 6 In 3.12-3.35, 1 Sn 3.13
In 0.0856 0.4986 0.8790  5 Cd 3.12-3.39, 6 In 3.24-3.49
In 0.1116 0.4087 0.1880  4 Cd 3.17-3.46, 7 In 3.28-3.54, 1 Sn 3.44
In 0.1211 0.8104 0.7834  5 Cd 3.16-3.28, 7 In 3.26-3.54
In 0.1433 0.8076 0.1906  4 In 3.24-3.36, 5 Cd 3.32-3.45, 1 Sn 3.52
In 0.2066 0.5322 0.5924  4 Cd 3.15-3.42, 1 Sn 3.24, 6 In 3.36-3.45
In 0.2217 0.2217 0.9144  5 Cd 3.09-3.24, 1 In 3.30
In 0.4003 0.8055 0.4967  5 Cd 3.13-3.46, 6 In 3.25-3.48
In 0.4087 0.1116 0.1880  4 Cd 3.17-3.46, 7 In 3.28-3.54, 1 Sn 3.44
In 0.4708 0.4708 0.8413  4 In 3.30-3.36, 6 Cd 3.35-3.40, 1 Sn 3.61
In 0.4986 0.0856 0.8790  5 Cd 3.12-3.39, 6 In 3.24-3.49
In 0.5059 0.5059 0.4692  1 Sn 3.08, 4 Cd 3.18-3.25, 1 In 3.19
In 0.5322 0.2066 0.5924  4 Cd 3.15-3.42, 1 Sn 3.24, 6 In 3.36-3.45
In 0.8055 0.4003 0.4967  5 Cd 3.13-3.46, 6 In 3.25-3.48
In 0.8076 0.1433 0.1906  4 In 3.24-3.36, 5 Cd 3.32-3.45, 1 Sn 3.52
In 0.8104 0.1211 0.7834  5 Cd 3.16-3.28, 7 In 3.26-3.54
In 0.8102 0.8102 0.1857  4 In 3.33-3.36, 11 Cd 3.48-3.64, 1 Sn 3.68
In 0.8149 0.8149 0.5356  4 In 3.19-3.36, 6 Cd 3.35-3.43
Sn 0.2014 0.2014 0.3883  3 Cd 3.06-3.13, 3 In 3.08-3.24

## Properties
The total energy is -59.83 eV/cell. The value obtained for the formation enthalpy at 0 K is 0.79 eV/f.u.


No. 8
The following is a DFT calculation (GGA-PBE) of ZnMoW2 after structural relaxation.

a b c (Å): 5.2669 5.2669 2.7036
angles (deg): 100.21 100.21 117.37
With the nearest neighbours (Å) after each atom.
Atoms (fractional coordinates):
Zn 0.0000 0.0000 0.0000  2 Zn 2.70, 2 Mo 2.74, 4 W 2.74
Mo 0.5000 0.5000 0.0000  2 Mo 2.70, 2 Zn 2.74, 4 W 2.74
W 0.0000 0.5000 0.5000  4 W 2.70-2.74, 2 Mo 2.74, 2 Zn 2.74
W 0.5000 0.0000 0.5000  4 W 2.70-2.74, 2 Mo 2.74, 2 Zn 2.74

## Properties
The total energy is -37.21 eV/cell. The value obtained for the formation enthalpy at 0 K is 0.80 eV/f.u.


No. 9
The following is a DFT calculation (GGA-PBE) of La2ZnIn after structural relaxation.

a b c (Å): 6.9287 6.9287 6.9287
angles (deg): 102.16 102.16 125.37
With the nearest neighbours (Å) after each atom.
Atoms (fractional coordinates):
La 0.0895 0.6250 0.9645  2 Zn 2.98, 2 La 3.24
La 0.3750 0.3395 0.4645  2 Zn 2.98, 2 La 3.24
La 0.6605 0.1250 0.0355  2 Zn 2.98, 2 La 3.24
La 0.8750 0.9105 0.5355  2 Zn 2.98, 2 La 3.24
Zn 0.0000 0.0000 0.0000  4 La 2.98, 2 In 3.18
Zn 0.7500 0.2500 0.5000  4 La 2.98, 2 In 3.18
In 0.2500 0.7500 0.5000  2 Zn 3.18, 4 La 3.40
In 0.5000 0.5000 0.0000  2 Zn 3.18, 4 La 3.40

## Properties
The total energy is -28.37 eV/cell. The value obtained for the formation enthalpy at 0 K is -0.32 eV/f.u.


No. 10
The following is a DFT calculation (GGA-PBE) of Sc6TeC3 after structural relaxation.

a b c (Å): 10.1466 3.4676 10.4919
angles (deg): 90.00 108.56 90.00
With the nearest neighbours (Å) after each atom.
Atoms (fractional coordinates):
Sc 0.0416 0.2500 0.3840  4 C 2.36-2.61
Sc 0.1603 0.7500 0.1361  2 C 2.26
Sc 0.2607 0.2500 0.6652  3 C 2.28-2.36
Sc 0.3221 0.7500 0.4333  3 C 2.27-2.34
Sc 0.3731 0.7500 0.9440  3 C 2.24-2.32
Sc 0.4556 0.2500 0.2471  3 C 2.29
Sc 0.5444 0.7500 0.7529  3 C 2.29
Sc 0.6269 0.2500 0.0560  3 C 2.24-2.32
Sc 0.6779 0.2500 0.5667  3 C 2.27-2.34
Sc 0.7393 0.7500 0.3348  3 C 2.28-2.36
Sc 0.8397 0.2500 0.8639  2 C 2.26
Sc 0.9584 0.7500 0.6160  4 C 2.36-2.61
Te 0.1243 0.2500 0.8809  6 Sc 2.84-3.11
Te 0.8757 0.7500 0.1191  6 Sc 2.84-3.11
C 0.1531 0.7500 0.5317  6 Sc 2.27-2.41
C 0.2422 0.2500 0.2778  5 Sc 2.26-2.34
C 0.4653 0.2500 0.8521  6 Sc 2.24-2.36
C 0.5347 0.7500 0.1479  6 Sc 2.24-2.36
C 0.7578 0.7500 0.7222  5 Sc 2.26-2.34
C 0.8469 0.2500 0.4683  6 Sc 2.27-2.41

## Properties
The total energy is -149.88 eV/cell. The energy relative to the elements, uncorrected is -0.6140 eV/atom.


No. 11
The following is a DFT calculation (GGA-PBE) of ReAgCl5 after structural relaxation.

a b c (Å): 7.2548 7.2548 8.9709
angles (deg): 110.54 110.54 95.77
With the nearest neighbours (Å) after each atom.
Atoms (fractional coordinates):
Re 0.0000 0.5000 0.0000  6 Cl 2.34-2.44
Re 0.5000 0.0000 0.5000  6 Cl 2.34-2.44
Ag 0.1261 0.8739 0.7500  4 Cl 2.61-2.62
Ag 0.8739 0.1261 0.2500  4 Cl 2.61-2.62
Cl 0.1198 0.2084 0.9847  1 Re 2.34, 1 Ag 2.61
Cl 0.1472 0.5504 0.8161  1 Re 2.36, 1 Ag 2.62
Cl 0.2084 0.1198 0.4847  1 Re 2.34, 1 Ag 2.61
Cl 0.3289 0.6711 0.2500  2 Re 2.44
Cl 0.4496 0.8528 0.6839  1 Re 2.36, 1 Ag 2.62
Cl 0.5504 0.1472 0.3161  1 Re 2.36, 1 Ag 2.62
Cl 0.6711 0.3289 0.7500  2 Re 2.44
Cl 0.7916 0.8802 0.5153  1 Re 2.34, 1 Ag 2.61
Cl 0.8528 0.4496 0.1839  1 Re 2.36, 1 Ag 2.62
Cl 0.8802 0.7916 0.0153  1 Re 2.34, 1 Ag 2.61

## Properties
The total energy is -55.98 eV/cell. The energy relative to the elements, uncorrected is -0.4937 eV/atom.


No. 12
The following is a DFT calculation (GGA-PBE) of SmFe2 after structural relaxation.

a b c (Å): 5.2110 5.2110 5.2110
angles (deg): 60.00 60.00 60.00
With the nearest neighbours (Å) after each atom.
Atoms (fractional coordinates):
Sm 0.1250 0.1250 0.1250  12 Fe 3.06, 4 Sm 3.19
Sm 0.8750 0.8750 0.8750  12 Fe 3.06, 4 Sm 3.19
Fe 0.0000 0.5000 0.5000  6 Fe 2.61
Fe 0.5000 0.0000 0.5000  6 Fe 2.61
Fe 0.5000 0.5000 0.0000  6 Fe 2.61
Fe 0.5000 0.5000 0.5000  6 Fe 2.61

## Properties
The total energy is -43.16 eV/cell. The value obtained for the formation enthalpy at 0 K is 0.06 eV/f.u.